{"formula": "Ba4CoRe2O12", "functional": "GGA-PBEsol", "state": "optimized geometry", "e_form_raw_ev_per_atom": -2.187, "dft_energy_ev_per_cell": -147.5, "lattice_angstrom": [[5.6747, 0.0000, 0.0000], [2.8374, 4.9144, 0.0000], [2.8374, 1.6381, 9.2054]], "species": ["Re", "Re", "Co", "Ba", "Ba", "Ba", "Ba", "O", "O", "O", "O", "O", "O", "O", "O", "O", "O", "O", "O"], "fractional_positions": [[0.5816, 0.5816, 0.2552], [0.4184, 0.4184, 0.7448], [0.0000, 0.0000, 0.0000], [0.7085, 0.7085, 0.8744], [0.2915, 0.2915, 0.1256], [0.8689, 0.8689, 0.3934], [0.1311, 0.1311, 0.6066], [0.2156, 0.2156, 0.8723], [0.2156, 0.6965, 0.8723], [0.6965, 0.2156, 0.8723], [0.7844, 0.7844, 0.1277], [0.7844, 0.3035, 0.1277], [0.3035, 0.7844, 0.1277], [0.3875, 0.3875, 0.3629], [0.3875, 0.8622, 0.3629], [0.8622, 0.3875, 0.3629], [0.6125, 0.6125, 0.6371], [0.6125, 0.1378, 0.6371], [0.1378, 0.6125, 0.6371]]}

=====

{"formula": "Ba2CoReO6", "functional": "GGA-PBEsol", "state": "optimized geometry", "e_form_raw_ev_per_atom": -2.051, "dft_energy_ev_per_cell": -77.4, "lattice_angstrom": [[5.6790, 0.0000, 0.0000], [2.8395, 4.9182, 0.0000], [2.8395, 1.6394, 4.6369]], "species": ["Ba", "Ba", "Co", "Re", "O", "O", "O", "O", "O", "O"], "fractional_positions": [[0.2500, 0.2500, 0.2500], [0.7500, 0.7500, 0.7500], [0.0000, 0.0000, 0.0000], [0.5000, 0.5000, 0.5000], [0.2602, 0.7398, 0.2602], [0.7398, 0.2602, 0.2602], [0.7398, 0.7398, 0.2602], [0.2602, 0.7398, 0.7398], [0.2602, 0.2602, 0.7398], [0.7398, 0.2602, 0.7398]]}

=====

{"formula": "Ba3CoRu2O9", "functional": "GGA-PBEsol", "state": "optimized geometry", "e_form_raw_ev_per_atom": -1.816, "dft_energy_ev_per_cell": -218.0, "lattice_angstrom": [[5.7016, 0.0000, 0.0000], [-2.8508, 4.9378, 0.0000], [0.0000, 0.0000, 14.0016]], "species": ["Ba", "Ba", "Ba", "Ba", "Ba", "Ba", "Co", "Co", "Ru", "Ru", "Ru", "Ru", "O", "O", "O", "O", "O", "O", "O", "O", "O", "O", "O", "O", "O", "O", "O", "O", "O", "O"], "fractional_positions": [[0.0000, 0.0000, 0.7500], [0.0000, 0.0000, 0.2500], [0.3333, 0.6667, 0.5900], [0.6667, 0.3333, 0.0900], [0.6667, 0.3333, 0.4100], [0.3333, 0.6667, 0.9100], [0.0000, 0.0000, 0.5000], [0.0000, 0.0000, 0.0000], [0.3333, 0.6667, 0.3474], [0.6667, 0.3333, 0.8474], [0.6667, 0.3333, 0.6526], [0.3333, 0.6667, 0.1526], [0.5153, 0.4847, 0.7500], [0.4847, 0.5153, 0.2500], [0.9693, 0.4847, 0.7500], [0.0307, 0.5153, 0.2500], [0.4847, 0.9693, 0.2500], [0.5153, 0.0307, 0.7500], [0.8323, 0.1677, 0.5806], [0.1677, 0.8323, 0.0806], [0.1677, 0.8323, 0.4194], [0.8323, 0.1677, 0.9194], [0.8323, 0.6645, 0.5806], [0.1677, 0.3355, 0.0806], [0.6645, 0.8323, 0.4194], [0.3355, 0.1677, 0.9194], [0.1677, 0.3355, 0.4194], [0.8323, 0.6645, 0.9194], [0.3355, 0.1677, 0.5806], [0.6645, 0.8323, 0.0806]]}